## Ce2NdScSe4 (PBE)

Data for Ce2NdScSe4 after structural relaxation.

Calculated values
As for the formation energy from raw total energies: -1745 meV per atom. The value obtained for the total magnetic moment is 2.0 μB per cell. The mass density is 6.5 g/cm3. As for the space group: P2/m, No. 10. The final energy is -6.36 eV/atom. Its density of states at the Fermi level is 13.51 states/eV/f.u.

Cell: 7.1767 4.1069 7.1910 Å, 90.00 109.07 90.00°
Closest atoms and distances in Å follow each position.
Fractional coordinates of all 8 atoms:
1 Ce 0.0000 0.0000 0.0000  6 Se 3.04
2 Ce 0.5000 0.5000 0.0000  6 Se 2.92
3 Nd 0.0000 0.5000 0.5000  6 Se 2.94
4 Sc 0.5000 0.0000 0.5000  6 Se 2.82
5 Se 0.2610 0.0000 0.7421  1 Sc 2.82, 3 Ce 2.92-3.04, 2 Nd 2.94
6 Se 0.2690 0.5000 0.2673  2 Sc 2.82, 3 Ce 2.92-3.04, 1 Nd 2.94
7 Se 0.7310 0.5000 0.7327  2 Sc 2.82, 3 Ce 2.92-3.04, 1 Nd 2.94
8 Se 0.7390 0.0000 0.2579  1 Sc 2.82, 3 Ce 2.92-3.04, 2 Nd 2.94